VASP calculation (GGA-PBE) on a geometry-optimized K3Au5Br12 structure.

Computed properties:
- magnetization (μB per formula unit) = 0.0
- VASP energy (eV per atom) = -2.522
- raw formation energy (meV per atom) = -534

```
data_K3Au5Br12
_chemical_formula_sum 'K24 Au40 Br96'
_symmetry_space_group_name_H-M 'I a -3 d'
_symmetry_Int_Tables_number 230
_symmetry_space_group_name_Hall '-I 4bd 2c 3'
_cell_length_a 17.518
_cell_length_b 17.518
_cell_length_c 17.518
_cell_angle_alpha 90.00
_cell_angle_beta 90.00
_cell_angle_gamma 90.00
loop_
_atom_site_label
_atom_site_type_symbol
_atom_site_fract_x
_atom_site_fract_y
_atom_site_fract_z
K1 K 0.000 0.250 0.125
Au1 Au 0.000 0.000 0.000
Au2 Au 0.000 0.250 0.375
Br1 Br 0.028 0.047 0.646
```



VASP calculation (GGA-PBE) on a geometry-optimized K12Au3Br5 structure.

Computed properties:
- magnetization (μB per formula unit) = 0.0
- VASP energy (eV per atom) = -2.429
- raw formation energy (meV per atom) = -860

```
data_K12Au3Br5
_chemical_formula_sum 'K96 Au24 Br40'
_symmetry_space_group_name_H-M 'I a -3 d'
_symmetry_Int_Tables_number 230
_symmetry_space_group_name_Hall '-I 4bd 2c 3'
_cell_length_a 19.648
_cell_length_b 19.648
_cell_length_c 19.648
_cell_angle_alpha 90.00
_cell_angle_beta 90.00
_cell_angle_gamma 90.00
loop_
_atom_site_label
_atom_site_type_symbol
_atom_site_fract_x
_atom_site_fract_y
_atom_site_fract_z
K1 K 0.017 0.069 0.653
Au1 Au 0.000 0.250 0.125
Br1 Br 0.000 0.000 0.000
Br2 Br 0.000 0.250 0.375
```



VASP calculation (GGA-PBE) on a geometry-optimized K2Au2Br5 structure.

Computed properties:
- magnetization (μB per formula unit) = 0.0
- VASP energy (eV per atom) = -2.684
- raw formation energy (meV per atom) = -782

```
data_K2Au2Br5
_chemical_formula_sum 'K8 Au8 Br20'
_symmetry_space_group_name_H-M 'I m a 2'
_symmetry_Int_Tables_number 46
_symmetry_space_group_name_Hall 'I 2 -2a'
_cell_length_a 19.588
_cell_length_b 7.986
_cell_length_c 7.662
_cell_angle_alpha 90.00
_cell_angle_beta 90.00
_cell_angle_gamma 90.00
loop_
_atom_site_label
_atom_site_type_symbol
_atom_site_fract_x
_atom_site_fract_y
_atom_site_fract_z
K1 K 0.106 0.035 0.000
Au1 Au 0.000 0.000 0.475
Au2 Au 0.250 0.522 0.121
Br1 Br 0.013 0.744 0.230
Br2 Br 0.140 0.060 0.449
Br3 Br 0.250 0.625 0.434
```



VASP calculation (GGA-PBE) on a geometry-optimized K2AuBr structure.

Computed properties:
- magnetization (μB per formula unit) = 0.0
- VASP energy (eV per atom) = -2.688
- raw formation energy (meV per atom) = -902

```
data_K2AuBr
_chemical_formula_sum 'K8 Au4 Br4'
_symmetry_space_group_name_H-M 'I -4 2 d'
_symmetry_Int_Tables_number 122
_symmetry_space_group_name_Hall 'I -4 2bw'
_cell_length_a 7.555
_cell_length_b 7.555
_cell_length_c 14.759
_cell_angle_alpha 90.00
_cell_angle_beta 90.00
_cell_angle_gamma 90.00
loop_
_atom_site_label
_atom_site_type_symbol
_atom_site_fract_x
_atom_site_fract_y
_atom_site_fract_z
K1 K 0.241 0.250 0.125
Au1 Au 0.000 0.000 0.500
Br1 Br 0.000 0.000 0.000
```